(1)
Computed, not measured: a geometry-optimized Sr2MgBP structure at the GGA-PBE level of DFT.

Results
* energy relative to the elements: 0.0284 eV/atom

a = 5.359 Å, b = 5.359 Å, c = 4.506 Å
α = 90.00°, β = 90.00°, γ = 90.00°
Element x y z (fractional)
Sr1 0.000 0.500 0.000
Sr2 0.500 0.000 0.000
Mg1 0.000 0.000 0.500
B1 0.000 0.000 0.000
P1 0.500 0.500 0.500



(2)
Computed, not measured: a geometry-optimized BeP2W structure at the GGA-PBE level of DFT.

Results
* energy relative to the elements: 0.2720 eV/atom

a = 4.125 Å, b = 4.125 Å, c = 3.086 Å
α = 90.00°, β = 90.00°, γ = 101.47°
Element x y z (fractional)
Be1 0.000 0.000 0.000
P1 0.000 0.500 0.500
P2 0.500 0.000 0.500
W1 0.500 0.500 0.000



(3)
Computed, not measured: a geometry-optimized NaAl2PF structure at the GGA-PBE level of DFT.

Results
* formation energy from raw total energies: -1.25 eV per formula unit

a = 4.754 Å, b = 4.754 Å, c = 5.734 Å
α = 90.00°, β = 90.00°, γ = 90.00°
Element x y z (fractional)
Na1 0.000 0.000 0.000
Al1 0.000 0.500 0.500
Al2 0.500 0.000 0.500
P1 0.000 0.000 0.500
F1 0.500 0.500 0.000



Number 1: raw total energy -3.38 eV per atom. Number 2: raw total energy -6.60 eV per atom. Number 3: raw total energy -3.47 eV per atom.